1.
Below is ScCu at its PBEsol-relaxed geometry, with properties calculated at the SCAN level.

Results
The value obtained for the density of states at the Fermi level is 6.28 states/eV per cell. As for the crystal system: orthorhombic.

Cell lengths 3.2496, 9.8522, 4.2547 Å; angles 90.00, 90.00, 90.00 degrees
Space group Cmcm (No. 63)
Unique sites:
Sc  0.0000  0.1429  0.2500 x4
Cu  0.0000  0.4250  0.2500 x4

=====

2.
Below is GaCo3Ru at its PBEsol-relaxed geometry, with properties calculated at the SCAN level.

Results
The value obtained for the density of states at the Fermi level is 3.07 states/eV per cell. As for the crystal system: cubic.

Cell lengths 4.1723, 4.1723, 4.1723 Å; angles 90.00, 90.00, 90.00 degrees
Space group Pm-3m (No. 221)
Unique sites:
Ga  0.0000  0.0000  0.0000 x1
Co  0.0000  0.0000  0.5000 x3
Ru  0.5000  0.5000  0.5000 x1

=====

3.
Below is CoRe3 at its PBEsol-relaxed geometry, with properties calculated at the SCAN level.

Results
The value obtained for the density of states at the Fermi level is 6.11 states/eV per cell. As for the crystal system: hexagonal.

Cell lengths 5.3648, 5.3648, 4.3081 Å; angles 90.00, 90.00, 120.00 degrees
Space group P6_3/mmc (No. 194)
Unique sites:
Co  0.3333  0.6667  0.2500 x2
Re  0.1669  0.3338  0.7500 x6

=====

4.
Below is ReNi2HgAs at its PBEsol-relaxed geometry, with properties calculated at the SCAN level.

Results
The value obtained for the density of states at the Fermi level is 2.93 states/eV per cell. As for the crystal system: tetragonal.

Cell lengths 4.5835, 4.5835, 4.8617 Å; angles 90.00, 90.00, 90.00 degrees
Space group P4/mmm (No. 123)
Unique sites:
Re  0.0000  0.0000  0.0000 x1
Ni  0.0000  0.5000  0.5000 x2
Hg  0.5000  0.5000  0.5000 x1
As  0.5000  0.5000  0.0000 x1

=====

Computed values of magnetization (unit: Bohr magnetons per cell) for the preceding records, in sequence: 0.00 7.28 1.26 5.63.
Computed values of DFT formation energy (unit: kJ per mole of atoms) for the preceding records, in sequence: -30.39 122.04 -1.58 200.93.